(1)
Entry from Alexandria: an optimized crystal structure of PuCr4 (GGA-PBE).

- calculated formation energy (eV/atom) = 1.259
- total DFT energy (no corrections) (eV/atom) = -9.3057
- crystal system = cubic
- space-group type = Pm-3m
- D(E_F) (states/eV per cell) = 5.1

Lattice parameters (Å, degrees): 4.4180 4.4180 4.4180 90.00 90.00 90.00
Closest atoms and distances in Å follow each position.
Fractional positions:
Cr 0.0000 0.0000 0.0000  12 Cr 3.12
Cr 0.5000 0.0000 0.5000  2 Pu 2.21
Cr 0.0000 0.5000 0.5000  2 Pu 2.21
Cr 0.5000 0.5000 0.0000  2 Pu 2.21
Pu 0.5000 0.5000 0.5000  6 Cr 2.21

***

(2)
Entry from Alexandria: an optimized crystal structure of SrLiCe2O5 (GGA-PBE).

- total DFT energy (no corrections) (eV/atom) = -7.4597
- ΔE_f (raw) (meV/atom) = -2987
- crystal system = tetragonal
- space-group type = I4/mcm
- D(E_F) (states/eV per cell) = 14.7

Lattice parameters (Å, degrees): 6.6303 6.6303 7.3011 117.00 117.00 90.00
Closest atoms and distances in Å follow each position.
Fractional positions:
Sr 0.2500 0.2500 0.5000  10 O 2.80-2.85
Sr 0.7500 0.7500 0.5000  10 O 2.80-2.85
Li 0.2500 0.7500 0.5000  4 O 1.94
Li 0.7500 0.2500 0.5000  4 O 1.94
Ce 0.1699 0.3301 0.0000  4 O 2.23-2.46
Ce 0.6699 0.1699 0.0000  4 O 2.23-2.46
Ce 0.3301 0.8301 0.0000  4 O 2.23-2.46
Ce 0.8301 0.6699 0.0000  4 O 2.23-2.46
O 0.9803 0.4803 0.2618  1 Li 1.94
O 0.7185 0.2185 0.7382  1 Li 1.94
O 0.0197 0.5197 0.7382  1 Li 1.94
O 0.2185 0.0197 0.7382  1 Li 1.94
O 0.5197 0.7185 0.7382  1 Li 1.94
O 0.7815 0.9803 0.2618  1 Li 1.94
O 0.4803 0.2815 0.2618  1 Li 1.94
O 0.2815 0.7815 0.2618  1 Li 1.94
O 0.5000 0.5000 0.0000  4 Ce 2.46
O 0.0000 0.0000 0.0000  4 Ce 2.46

***

(3)
Entry from Alexandria: an optimized crystal structure of ReIrAu2 (GGA-PBE).

- calculated formation energy (eV/atom) = 0.564
- total DFT energy (no corrections) (eV/atom) = -6.4022
- crystal system = orthorhombic
- space-group type = Cmmm
- D(E_F) (states/eV per cell) = 5.0

Lattice parameters (Å, degrees): 2.7686 2.7686 9.8011 90.00 90.00 118.86
Closest atoms and distances in Å follow each position.
Fractional positions:
Au 0.0000 0.0000 0.0010  6 Au 2.77-2.82, 2 Ir 2.82, 2 Re 2.83
Au 0.0000 0.0000 0.4990  6 Au 2.77-2.82, 2 Ir 2.82, 2 Re 2.83
Ir 0.5000 0.5000 0.2500  6 Ir 2.77-2.82, 4 Au 2.82
Re 0.5000 0.5000 0.7500  6 Re 2.77-2.82, 4 Au 2.83

***

(4)
Entry from Alexandria: an optimized crystal structure of Er11Hg9Ir4 (GGA-PBE).

- calculated formation energy (eV/atom) = -0.621
- total DFT energy (no corrections) (eV/atom) = -4.3021
- crystal system = orthorhombic
- space-group type = Cmmm
- D(E_F) (states/eV per cell) = 14.0

Lattice parameters (Å, degrees): 3.6623 12.8821 12.8821 112.35 90.00 90.00
Closest atoms and distances in Å follow each position.
Fractional positions:
Er 0.0000 0.5830 0.9140  2 Ir 2.78
Er 0.0000 0.4170 0.0860  2 Ir 2.78
Er 0.0000 0.9140 0.5830  2 Ir 2.78
Er 0.0000 0.0860 0.4170  2 Ir 2.78
Er 0.0000 0.6338 0.3662  4 Ir 2.88
Er 0.0000 0.3662 0.6338  4 Ir 2.88
Er 0.0000 0.8334 0.1666  8 Hg 3.11-3.29
Er 0.0000 0.1666 0.8334  8 Hg 3.11-3.29
Er 0.0000 0.0000 0.0000  8 Hg 3.11
Er 0.0000 0.7051 0.7051  4 Ir 2.89
Er 0.0000 0.2949 0.2949  4 Ir 2.89
Hg 0.5000 0.6312 0.1455  8 Er 3.11-3.37, 1 Ir 3.17, 1 Hg 3.20
Hg 0.5000 0.3688 0.8545  8 Er 3.11-3.37, 1 Ir 3.17, 1 Hg 3.20
Hg 0.5000 0.1455 0.6312  8 Er 3.11-3.37, 1 Ir 3.17, 1 Hg 3.20
Hg 0.5000 0.8545 0.3688  8 Er 3.11-3.37, 1 Ir 3.17, 1 Hg 3.20
Hg 0.5000 0.7898 0.9419  8 Er 3.11-3.36, 1 Ir 3.20, 1 Hg 3.25
Hg 0.5000 0.2102 0.0581  8 Er 3.11-3.36, 1 Ir 3.20, 1 Hg 3.25
Hg 0.5000 0.9419 0.7898  8 Er 3.11-3.36, 1 Ir 3.20, 1 Hg 3.25
Hg 0.5000 0.0581 0.2102  8 Er 3.11-3.36, 1 Ir 3.20, 1 Hg 3.25
Hg 0.5000 0.5000 0.5000  4 Ir 2.93
Ir 0.5000 0.5486 0.7417  6 Er 2.78-2.89, 1 Hg 2.93
Ir 0.5000 0.4514 0.2583  6 Er 2.78-2.89, 1 Hg 2.93
Ir 0.5000 0.7417 0.5486  6 Er 2.78-2.89, 1 Hg 2.93
Ir 0.5000 0.2583 0.4514  6 Er 2.78-2.89, 1 Hg 2.93

***

Number 1: ρ 8.7 g cm⁻³. Number 2: ρ 6.1 g cm⁻³. Number 3: ρ 19.5 g cm⁻³. Number 4: ρ 13.0 g cm⁻³.